# PBE with a Hubbard U BeCoTeO, optimized geometry
data_BeCoTeO
_cell_length_a 3.130
_cell_length_b 3.130
_cell_length_c 22.271
_cell_angle_alpha 90.00
_cell_angle_beta 90.00
_cell_angle_gamma 90.00
_symmetry_space_group_name_H-M 'P 4/n m m'
_symmetry_Int_Tables_number 129
loop_
_symmetry_equiv_pos_as_xyz
'x,y,z'
'-x,-y,-z'
'-y+1/2,x,z'
'y+1/2,-x,-z'
'-x+1/2,-y+1/2,z'
'x+1/2,y+1/2,-z'
'y,-x+1/2,z'
'-y,x+1/2,-z'
'x+1/2,-y,-z'
'-x+1/2,y,z'
'-y,-x,-z'
'y,x,z'
'-x,y+1/2,-z'
'x,-y+1/2,z'
'y+1/2,x+1/2,-z'
'-y+1/2,-x+1/2,z'
loop_
_atom_site_label
_atom_site_fract_x
_atom_site_fract_y
_atom_site_fract_z
Be1 0.250 0.750 0.000
Co1 0.250 0.250 0.076
Te1 0.250 0.250 0.243
O1 0.250 0.250 0.158
# M_tot   3.61 μB per cell
# Excess energy over the best structure of this formula in the dataset   1.098 eV per atom
# Uncorrected energy   -4.0754 eV per atom